Entry 1:
VASP calculation (PBE) on crystalline Pu2Si5Pd3 at its relaxed geometry.

SG: Ibam (72)
Raw total energy: -155.5 eV/cell

Cell: 5.8957 8.2482 8.2482 Å, 90.66 69.05 69.05°
Last column: nearest neighbours and their distance in Å.
Fractional positions:
Pd1 0.2500 0.0000 0.0000  6 Si 2.51-2.60
Pd2 0.6069 0.5323 0.2535  5 Si 2.40-2.45
Pd3 0.8931 0.7465 0.4677  5 Si 2.40-2.45
Pd4 0.3931 0.4677 0.7465  5 Si 2.40-2.45
Pd5 0.7500 0.0000 0.0000  6 Si 2.51-2.60
Pd6 0.1069 0.2535 0.5323  5 Si 2.40-2.45
Si1 0.8448 0.2665 0.0440  3 Pd 2.40-2.51, 2 Si 2.50
Si2 0.7500 0.5001 0.4999  4 Pd 2.45
Si3 0.1552 0.7335 0.9560  3 Pd 2.40-2.51, 2 Si 2.50
Si4 0.2500 0.4999 0.5001  4 Pd 2.45
Si5 0.7500 0.7783 0.2217  3 Pd 2.44-2.60, 2 Si 2.50
Si6 0.2500 0.7784 0.2216  3 Pd 2.44-2.60, 2 Si 2.50
Si7 0.7500 0.2216 0.7784  3 Pd 2.44-2.60, 2 Si 2.50
Si8 0.3448 0.0440 0.2665  3 Pd 2.40-2.51, 2 Si 2.50
Si9 0.2500 0.2217 0.7783  3 Pd 2.44-2.60, 2 Si 2.50
Si10 0.6552 0.9560 0.7335  3 Pd 2.40-2.51, 2 Si 2.50
Pu1 0.7682 0.6024 0.8617  10 Si 3.04-3.25, 5 Pd 3.15-3.39
Pu2 0.2682 0.8617 0.6024  10 Si 3.04-3.25, 5 Pd 3.15-3.39
Pu3 0.7318 0.1383 0.3976  10 Si 3.04-3.25, 5 Pd 3.15-3.39
Pu4 0.2318 0.3976 0.1383  10 Si 3.04-3.25, 5 Pd 3.15-3.39


Entry 2:
VASP calculation (PBE) on crystalline Pu2Si2Pd at its relaxed geometry.

E above lowest polymorph: 28 meV/atom
SG: C2/c (15)

Cell: 5.6713 5.5449 7.4517 Å, 99.76 90.00 120.76°
Last column: nearest neighbours and their distance in Å.
Fractional positions:
Pd1 0.1336 0.0000 0.7500  4 Si 2.48-2.54
Pd2 0.8664 0.0000 0.2500  4 Si 2.48-2.54
Pu1 0.4791 0.7134 0.8524  6 Si 2.92-3.08, 1 Pd 3.25
Pu2 0.2343 0.7134 0.3524  6 Si 2.92-3.08, 1 Pd 3.25
Pu3 0.7657 0.2866 0.6476  6 Si 2.92-3.08, 1 Pd 3.25
Pu4 0.5209 0.2866 0.1476  6 Si 2.92-3.08, 1 Pd 3.25
Si1 0.0074 0.2738 0.0000  2 Pd 2.48-2.54, 1 Si 2.55
Si2 0.9926 0.7262 0.0000  2 Pd 2.48-2.54, 1 Si 2.55
Si3 0.7336 0.7262 0.5000  2 Pd 2.48-2.54, 1 Si 2.55
Si4 0.2664 0.2738 0.5000  2 Pd 2.48-2.54, 1 Si 2.55


Entry 3:
VASP calculation (PBE) on crystalline Pu2SiPd6 at its relaxed geometry.

E above lowest polymorph: 0 meV/atom
SG: P-3m1 (164)

Cell: 5.7754 5.7074 5.7074 Å, 60.01 90.00 90.00°
Last column: nearest neighbours and their distance in Å.
Fractional positions:
Pd1 0.3037 0.8291 0.3412  1 Si 2.43
Pd2 0.3037 0.3412 0.8291  1 Si 2.43
Pd3 0.3026 0.8291 0.8291  1 Si 2.43
Pd4 0.6963 0.1709 0.6588  1 Si 2.43
Pd5 0.6974 0.1709 0.1709  1 Si 2.43
Pd6 0.6963 0.6588 0.1709  1 Si 2.43
Pu1 0.8293 0.6670 0.6670  9 Pd 2.95-3.18
Pu2 0.1707 0.3330 0.3330  9 Pd 2.95-3.18
Si1 0.0000 0.0000 0.0000  6 Pd 2.43


Entry 4:
VASP calculation (PBE) on crystalline Pu3Si3Pd at its relaxed geometry.

SG: C2/m (12)
Raw total energy: -136.2 eV/cell

Cell: 4.2491 5.6844 12.7966 Å, 88.80 80.44 68.05°
Last column: nearest neighbours and their distance in Å.
Fractional positions:
Si1 0.8937 0.1325 0.0802  2 Si 2.41-2.42
Si2 0.8756 0.7111 0.5377  1 Si 2.38, 3 Pd 2.50-2.53
Si3 0.0409 0.1456 0.7727  1 Si 2.42, 1 Pd 2.53
Si4 0.1063 0.8675 0.9198  2 Si 2.41-2.42
Si5 0.1244 0.2889 0.4623  1 Si 2.38, 3 Pd 2.50-2.53
Si6 0.9591 0.8544 0.2273  1 Si 2.42, 1 Pd 2.53
Pu1 0.4994 0.6397 0.3614  6 Si 2.97-3.13, 4 Pd 3.11-3.20, 2 Pu 3.28
Pu2 0.7502 0.7294 0.7701  6 Si 2.91-3.08
Pu3 0.5006 0.3603 0.6386  6 Si 2.97-3.13, 4 Pd 3.11-3.20, 2 Pu 3.28
Pu4 0.2498 0.2706 0.2299  6 Si 2.91-3.08
Pu5 0.3837 0.3007 0.9319  7 Si 2.99-3.12
Pu6 0.6163 0.6993 0.0681  7 Si 2.99-3.12
Pd1 0.7607 0.0679 0.4107  4 Si 2.50-2.53
Pd2 0.2393 0.9321 0.5893  4 Si 2.50-2.53


Entry 5:
VASP calculation (PBE) on crystalline PuSiPd at its relaxed geometry.

SG: I4mm (107)
Raw total energy: -26.3 eV/cell

Cell: 3.0750 3.0750 6.1569 Å, 104.46 104.46 90.00°
Last column: nearest neighbours and their distance in Å.
Fractional positions:
Pd1 0.6492 0.6492 0.2984  4 Si 2.51
Pu1 0.9425 0.9425 0.8851  4 Si 3.04, 4 Pu 3.08, 5 Pd 3.22-3.38
Si1 0.2583 0.2583 0.5166  4 Pd 2.51


Entry 6:
VASP calculation (PBE) on crystalline Pu2SiPd6 at its relaxed geometry.

E above lowest polymorph: 9 meV/atom
SG: C2/m (12)

Cell: 5.6943 5.6758 6.0378 Å, 77.55 90.00 120.11°
Last column: nearest neighbours and their distance in Å.
Fractional positions:
Pd1 0.6131 0.7374 0.3097  1 Si 2.46
Pd2 0.1242 0.2484 0.2957  1 Si 2.40
Pd3 0.1243 0.7374 0.3097  1 Si 2.46
Pd4 0.3869 0.2626 0.6903  1 Si 2.46
Pd5 0.8758 0.7516 0.7043  1 Si 2.40
Pd6 0.8757 0.2626 0.6903  1 Si 2.46
Si1 0.0000 0.0000 0.0000  6 Pd 2.40-2.46
Pu1 0.6428 0.2856 0.1556  9 Pd 2.96-3.16
Pu2 0.3572 0.7144 0.8444  9 Pd 2.96-3.16


Entry 7:
VASP calculation (PBE) on crystalline Pu3Si2Pd4 at its relaxed geometry.

SG: C2/m (12)
Raw total energy: -79.7 eV/cell

Cell: 4.6867 5.5197 8.5615 Å, 121.01 90.00 115.12°
Last column: nearest neighbours and their distance in Å.
Fractional positions:
Pd1 0.0736 0.1472 0.3943  3 Si 2.65-2.72, 1 Pd 2.91
Pd2 0.7058 0.4116 0.0577  1 Si 2.56
Pd3 0.2942 0.5884 0.9423  1 Si 2.56
Pd4 0.9264 0.8528 0.6057  3 Si 2.65-2.72, 1 Pd 2.91
Si1 0.6175 0.2350 0.2861  4 Pd 2.56-2.72
Si2 0.3825 0.7650 0.7139  4 Pd 2.56-2.72
Pu1 0.0000 0.0000 0.0000  2 Pu 2.94, 8 Pd 2.97-3.25, 4 Si 3.10
Pu2 0.6599 0.3197 0.6690  2 Pu 2.84-2.94, 8 Pd 3.01-3.13, 4 Si 3.01-3.10
Pu3 0.3401 0.6803 0.3310  2 Pu 2.84-2.94, 8 Pd 3.01-3.13, 4 Si 3.01-3.10


Entry 8:
VASP calculation (PBE) on crystalline Pu3Si2Pd6 at its relaxed geometry.

SG: Im-3m (229)
Raw total energy: -182.7 eV/cell

Cell: 8.0873 8.0873 8.0873 Å, 109.47 109.47 109.47°
Last column: nearest neighbours and their distance in Å.
Fractional positions:
Pd1 0.0000 0.3312 0.6688  2 Si 2.57, 4 Pd 2.70
Pd2 0.3312 0.3312 0.6624  2 Si 2.57, 4 Pd 2.70
Pd3 0.0000 0.6688 0.3312  2 Si 2.57, 4 Pd 2.70
Pd4 0.3312 0.6688 0.0000  2 Si 2.57, 4 Pd 2.70
Pd5 0.6688 0.3376 0.6688  2 Si 2.57, 4 Pd 2.70
Pd6 0.3312 0.6624 0.3312  2 Si 2.57, 4 Pd 2.70
Pd7 0.3312 0.0000 0.6688  2 Si 2.57, 4 Pd 2.70
Pd8 0.6688 0.0000 0.3312  2 Si 2.57, 4 Pd 2.70
Pd9 0.6688 0.6688 0.3376  2 Si 2.57, 4 Pd 2.70
Pd10 0.6623 0.3312 0.3312  2 Si 2.57, 4 Pd 2.70
Pd11 0.6688 0.3312 0.0000  2 Si 2.57, 4 Pd 2.70
Pd12 0.3377 0.6688 0.6688  2 Si 2.57, 4 Pd 2.70
Pu1 0.2717 0.2717 0.0000  8 Pd 3.08-3.14, 4 Si 3.31
Pu2 0.0000 0.7283 0.7283  8 Pd 3.08-3.14, 4 Si 3.31
Pu3 0.7283 0.0000 0.7283  8 Pd 3.08-3.14, 4 Si 3.31
Pu4 0.7283 0.7283 0.0000  8 Pd 3.08-3.14, 4 Si 3.31
Pu5 0.2717 0.0000 0.2717  8 Pd 3.08-3.14, 4 Si 3.31
Pu6 0.0000 0.2717 0.2717  8 Pd 3.08-3.14, 4 Si 3.31
Si1 0.0000 0.5000 0.0000  6 Pd 2.57
Si2 0.5000 0.0000 0.0000  6 Pd 2.57
Si3 0.0000 0.0000 0.5000  6 Pd 2.57
Si4 0.5000 0.5000 0.5000  6 Pd 2.57


Entry 9:
VASP calculation (PBE) on crystalline Pu2Si3Pd2 at its relaxed geometry.

SG: Cmcm (63)
Raw total energy: -119.5 eV/cell

Cell: 4.1851 6.9571 9.1013 Å, 90.00 103.29 90.00°
Last column: nearest neighbours and their distance in Å.
Fractional positions:
Si1 0.2229 0.7500 0.4459  6 Pd 2.55-2.57
Si2 0.4403 0.9269 0.8805  2 Si 2.35-2.46, 1 Pd 2.52
Si3 0.5597 0.4269 0.1195  2 Si 2.35-2.46, 1 Pd 2.52
Si4 0.5597 0.0731 0.1195  2 Si 2.35-2.46, 1 Pd 2.52
Si5 0.7771 0.2500 0.5541  6 Pd 2.55-2.57
Si6 0.4403 0.5731 0.8805  2 Si 2.35-2.46, 1 Pd 2.52
Pu1 0.0531 0.7500 0.1062  9 Si 3.01-3.14
Pu2 0.8492 0.7500 0.6985  6 Si 2.91-3.06, 6 Pd 3.05-3.09
Pu3 0.1508 0.2500 0.3015  6 Si 2.91-3.06, 6 Pd 3.05-3.09
Pu4 0.9469 0.2500 0.8938  9 Si 3.01-3.14
Pd1 0.3065 0.4507 0.6130  4 Si 2.52-2.57, 1 Pd 2.79
Pd2 0.3065 0.0493 0.6130  4 Si 2.52-2.57, 1 Pd 2.79
Pd3 0.6935 0.5493 0.3870  4 Si 2.52-2.57, 1 Pd 2.79
Pd4 0.6935 0.9507 0.3870  4 Si 2.52-2.57, 1 Pd 2.79


Entry 10:
VASP calculation (PBE) on crystalline Pu2Si2Pd3 at its relaxed geometry.

SG: C2/m (12)
Raw total energy: -58.1 eV/cell

Cell: 3.4570 5.8035 7.2341 Å, 119.63 90.00 107.33°
Last column: nearest neighbours and their distance in Å.
Fractional positions:
Pd1 0.3963 0.7926 0.5566  3 Si 2.43-2.44
Pd2 0.6037 0.2074 0.4434  3 Si 2.43-2.44
Pd3 0.5000 0.0000 0.0000  4 Si 2.45
Si1 0.8477 0.6954 0.7452  5 Pd 2.43-2.45
Si2 0.1523 0.3046 0.2548  5 Pd 2.43-2.45
Pu1 0.1859 0.3718 0.8784  2 Pu 2.35
Pu2 0.8141 0.6282 0.1216  2 Pu 2.35